(i)
The following is a PBE calculation of a relaxed CsScNi crystal, from OQMD.

abc: 4.8154 4.8154 4.8154
angles: 60.00 60.00 60.00
Last column: nearest neighbours and their distance in Å.
Fractional positions:
Cs 0.2500 0.2500 0.2500  4 Sc 2.95
Ni 0.7500 0.7500 0.7500  4 Sc 2.95
Sc 0.0000 0.0000 0.0000  4 Ni 2.95, 4 Cs 2.95

Summary:
Spin magnetization in μB/cell: 0.020



(ii)
The following is a PBE calculation of a relaxed CsScNi crystal, from OQMD.

abc: 4.7242 4.7242 4.7242
angles: 60.00 60.00 60.00
Last column: nearest neighbours and their distance in Å.
Fractional positions:
Cs 0.0000 0.0000 0.0000  4 Ni 2.89, 4 Sc 2.89
Ni 0.2500 0.2500 0.2500  4 Cs 2.89
Sc 0.7500 0.7500 0.7500  4 Cs 2.89

Summary:
Spin magnetization in μB/cell: 0.002



Last place for stability: (ii)



(i)
The following is a PBE calculation of a relaxed CsSmNiTe3 crystal, from OQMD.

abc: 11.6648 4.3493 17.2407
angles: 90.00 90.00 90.00
Last column: nearest neighbours and their distance in Å.
Fractional positions:
Te 0.5626 0.2500 0.1314  1 Ni 2.58
Te 0.4141 0.2500 0.3718  1 Ni 2.59
Te 0.2608 0.2500 0.6938  2 Ni 2.62
Te 0.7608 0.2500 0.8062  2 Ni 2.62
Te 0.0859 0.7500 0.8718  1 Ni 2.59
Te 0.5859 0.7500 0.6282  1 Ni 2.59
Te 0.2392 0.7500 0.1938  2 Ni 2.62
Te 0.9374 0.7500 0.6314  1 Ni 2.58
Te 0.4374 0.7500 0.8686  1 Ni 2.58
Te 0.7392 0.7500 0.3062  2 Ni 2.62
Te 0.0626 0.2500 0.3686  1 Ni 2.58
Te 0.9141 0.2500 0.1282  1 Ni 2.59
Cs 0.2371 0.7500 0.5103  7 Te 3.83-4.07
Cs 0.7371 0.7500 0.9897  7 Te 3.83-4.07
Cs 0.7629 0.2500 0.4897  7 Te 3.83-4.07
Cs 0.2629 0.2500 0.0103  7 Te 3.83-4.07
Ni 0.2399 0.2500 0.2788  4 Te 2.58-2.62
Ni 0.2601 0.7500 0.7788  4 Te 2.58-2.62
Ni 0.7601 0.7500 0.7212  4 Te 2.58-2.62
Ni 0.7399 0.2500 0.2212  4 Te 2.58-2.62
Sm 0.5119 0.2500 0.7479  6 Te 3.07-3.13
Sm 0.4881 0.7500 0.2521  6 Te 3.07-3.13
Sm 0.0119 0.2500 0.7521  6 Te 3.07-3.13
Sm 0.9881 0.7500 0.2479  6 Te 3.07-3.13

Summary:
Spin magnetization in μB/cell: 5.829



(ii)
The following is a PBE calculation of a relaxed CsSmNiTe3 crystal, from OQMD.

abc: 10.1236 4.3974 10.7295
angles: 90.00 112.25 90.00
Last column: nearest neighbours and their distance in Å.
Fractional positions:
Cs 0.7212 0.2500 0.7688  7 Te 3.78-4.03
Cs 0.2788 0.7500 0.2312  7 Te 3.78-4.03
Ni 0.5957 0.2500 0.1259  4 Te 2.53-2.55
Ni 0.4043 0.7500 0.8741  4 Te 2.53-2.55
Te 0.0268 0.2500 0.3260  3 Sm 3.10-3.14
Te 0.9732 0.7500 0.6740  3 Sm 3.10-3.14
Te 0.3937 0.7500 0.6341  1 Ni 2.54
Te 0.3407 0.2500 0.9579  3 Ni 2.53-2.55
Te 0.6063 0.2500 0.3659  1 Ni 2.54
Te 0.6593 0.7500 0.0421  3 Ni 2.53-2.55
Sm 0.1773 0.2500 0.6371  6 Te 3.10-3.20
Sm 0.8227 0.7500 0.3629  6 Te 3.10-3.20

Summary:
Spin magnetization in μB/cell: 0.002



(iii)
The following is a PBE calculation of a relaxed CsSmNiTe3 crystal, from OQMD.

abc: 8.9408 8.9408 10.6287
angles: 91.35 91.35 29.62
Last column: nearest neighbours and their distance in Å.
Fractional positions:
Te 0.5000 0.5000 0.5000  2 Te 3.05
Te 0.0000 0.0000 0.0000  4 Ni 2.64
Te 0.6109 0.6109 0.2810  1 Ni 2.57
Te 0.3409 0.3409 0.1214  1 Ni 2.68
Te 0.6591 0.6591 0.8786  1 Ni 2.68
Te 0.3891 0.3891 0.7190  1 Ni 2.57
Sm 0.1624 0.1624 0.0944  6 Te 2.96-3.24
Sm 0.8376 0.8376 0.9056  6 Te 2.96-3.24
Cs 0.8459 0.8459 0.4061  4 Te 3.63-3.79
Cs 0.1541 0.1541 0.5939  4 Te 3.63-3.79
Ni 0.5043 0.5043 0.8762  4 Te 2.57-2.68, 1 Ni 2.64
Ni 0.4957 0.4957 0.1238  4 Te 2.57-2.68, 1 Ni 2.64

Summary:
Spin magnetization in μB/cell: 0.556



(iv)
The following is a PBE calculation of a relaxed CsSmNiTe3 crystal, from OQMD.

abc: 12.1794 4.6162 14.1864
angles: 90.00 90.00 90.00
Last column: nearest neighbours and their distance in Å.
Fractional positions:
Cs 0.6554 0.0000 0.4992  7 Te 3.66-3.93, 2 Ni 4.00
Cs 0.3446 0.5000 0.5008  7 Te 3.66-3.93, 2 Ni 4.00
Cs 0.8446 0.5000 0.9992  7 Te 3.66-3.93, 2 Ni 4.00
Cs 0.1554 0.0000 0.0008  7 Te 3.66-3.93, 2 Ni 4.00
Te 0.2816 0.0000 0.7187  2 Ni 2.54
Te 0.7184 0.5000 0.2813  2 Ni 2.54
Te 0.8815 0.5000 0.5493  1 Ni 2.59
Te 0.2184 0.5000 0.2187  2 Ni 2.54
Te 0.1185 0.0000 0.4507  1 Ni 2.59
Te 0.3815 0.5000 0.9507  1 Ni 2.59
Te 0.6185 0.0000 0.0493  1 Ni 2.59
Te 0.0625 0.5000 0.8005  1 Ni 2.56
Te 0.5625 0.5000 0.6995  1 Ni 2.56
Te 0.7816 0.0000 0.7813  2 Ni 2.54
Te 0.9375 0.0000 0.1995  1 Ni 2.56
Te 0.4375 0.0000 0.3005  1 Ni 2.56
Ni 0.7729 0.5000 0.7064  4 Te 2.54-2.59
Ni 0.2729 0.5000 0.7936  4 Te 2.54-2.59
Ni 0.7271 0.0000 0.2064  4 Te 2.54-2.59
Ni 0.2271 0.0000 0.2936  4 Te 2.54-2.59
Sm 0.4947 0.5000 0.1578  7 Te 3.15-3.47
Sm 0.9947 0.5000 0.3422  7 Te 3.15-3.47
Sm 0.5053 0.0000 0.8422  7 Te 3.15-3.47
Sm 0.0053 0.0000 0.6578  7 Te 3.15-3.47

Summary:
Spin magnetization in μB/cell: 0.012



Last place for stability: (iii)



(i)
The following is a PBE calculation of a relaxed CsSmNiTe3 crystal, from OQMD.

abc: 17.2449 4.3642 11.6188
angles: 90.00 90.00 90.00
Last column: nearest neighbours and their distance in Å.
Fractional positions:
Sm 0.9752 0.2500 0.1544  6 Te 3.10-3.20
Sm 0.4752 0.2500 0.3456  6 Te 3.10-3.20
Sm 0.5248 0.7500 0.6544  6 Te 3.10-3.20
Sm 0.0248 0.7500 0.8456  6 Te 3.10-3.20
Te 0.1357 0.2500 0.7459  1 Ni 2.53
Te 0.5979 0.7500 0.4111  3 Sm 3.10-3.13
Te 0.4021 0.2500 0.5889  3 Sm 3.10-3.13
Te 0.9021 0.2500 0.9111  3 Sm 3.10-3.13
Te 0.9445 0.7500 0.5972  3 Ni 2.52-2.54
Te 0.5555 0.2500 0.0972  3 Ni 2.52-2.54
Te 0.6357 0.2500 0.7541  1 Ni 2.53
Te 0.3643 0.7500 0.2459  1 Ni 2.53
Te 0.8643 0.7500 0.2541  1 Ni 2.53
Te 0.0979 0.7500 0.0889  3 Sm 3.10-3.13
Te 0.0555 0.2500 0.4028  3 Ni 2.52-2.54
Te 0.4445 0.7500 0.9028  3 Ni 2.52-2.54
Cs 0.2721 0.2500 0.0105  7 Te 3.82-3.89
Cs 0.7721 0.2500 0.4895  7 Te 3.82-3.89
Cs 0.7279 0.7500 0.9895  7 Te 3.82-3.89
Cs 0.2279 0.7500 0.5105  7 Te 3.82-3.89
Ni 0.4808 0.7500 0.1132  4 Te 2.52-2.54
Ni 0.5192 0.2500 0.8868  4 Te 2.52-2.54
Ni 0.0192 0.2500 0.6132  4 Te 2.52-2.54
Ni 0.9808 0.7500 0.3868  4 Te 2.52-2.54

Summary:
Spin magnetization in μB/cell: 0.002



(ii)
The following is a PBE calculation of a relaxed CsSmNiTe3 crystal, from OQMD.

abc: 9.3731 9.3731 10.9402
angles: 90.00 90.00 26.49
Last column: nearest neighbours and their distance in Å.
Fractional positions:
Ni 0.5103 0.5103 0.7500  4 Te 2.54-2.64
Ni 0.4897 0.4897 0.2500  4 Te 2.54-2.64
Sm 0.0000 0.0000 0.5000  6 Te 3.05-3.12
Sm 0.0000 0.0000 0.0000  6 Te 3.05-3.12
Te 0.6118 0.6118 0.9091  1 Ni 2.54
Te 0.3882 0.3882 0.0909  1 Ni 2.54
Te 0.0737 0.0737 0.2500  2 Ni 2.64
Te 0.9263 0.9263 0.7500  2 Ni 2.64
Te 0.6118 0.6118 0.5909  1 Ni 2.54
Te 0.3882 0.3882 0.4091  1 Ni 2.54
Cs 0.2584 0.2584 0.7500  6 Te 3.74-3.85
Cs 0.7416 0.7416 0.2500  6 Te 3.74-3.85

Summary:
Spin magnetization in μB/cell: 0.017



Last place for stability: (ii)



(i)
The following is a PBE calculation of a relaxed CsTlNi crystal, from OQMD.

abc: 5.6073 5.6073 5.6073
angles: 60.00 60.00 60.00
Last column: nearest neighbours and their distance in Å.
Fractional positions:
Ni 0.2500 0.2500 0.2500  4 Cs 3.43
Cs 0.0000 0.0000 0.0000  4 Tl 3.43, 4 Ni 3.43
Tl 0.7500 0.7500 0.7500  4 Cs 3.43

Summary:
Spin magnetization in μB/cell: 0.084



(ii)
The following is a PBE calculation of a relaxed CsTlNi crystal, from OQMD.

abc: 5.4843 5.4843 5.4843
angles: 60.00 60.00 60.00
Last column: nearest neighbours and their distance in Å.
Fractional positions:
Cs 0.2500 0.2500 0.2500  4 Tl 3.36
Ni 0.7500 0.7500 0.7500  4 Tl 3.36
Tl 0.0000 0.0000 0.0000  4 Ni 3.36, 4 Cs 3.36

Summary:
Spin magnetization in μB/cell: 0.008



Last place for stability: (i)



(i)
The following is a PBE calculation of a relaxed CsNp crystal, from OQMD.

abc: 7.6025 7.6025 7.6025
angles: 26.91 26.91 26.91
Last column: nearest neighbours and their distance in Å.
Fractional positions:
Np 0.5000 0.5000 0.5000  6 Np 3.54
Cs 0.0000 0.0000 0.0000  6 Cs 3.54

Summary:
Spin magnetization in μB/cell: 5.839



(ii)
The following is a PBE calculation of a relaxed CsNp crystal, from OQMD.

abc: 5.6992 5.6992 5.6992
angles: 60.00 60.00 60.00
Last column: nearest neighbours and their distance in Å.
Fractional positions:
Np 0.2500 0.2500 0.2500  4 Cs 3.49
Cs 0.0000 0.0000 0.0000  4 Np 3.49

Summary:
Spin magnetization in μB/cell: 6.830



(iii)
The following is a PBE calculation of a relaxed CsNp crystal, from OQMD.

abc: 5.5191 5.5191 5.5191
angles: 60.00 60.00 60.00
Last column: nearest neighbours and their distance in Å.
Fractional positions:
Cs 0.0000 0.0000 0.0000  6 Np 3.90
Np 0.5000 0.5000 0.5000  6 Cs 3.90

Summary:
Spin magnetization in μB/cell: 5.663



Last place for stability: (ii)



(i)
The following is a PBE calculation of a relaxed CsNpPa crystal, from OQMD.

abc: 5.2228 5.2228 5.2228
angles: 60.00 60.00 60.00
Last column: nearest neighbours and their distance in Å.
Fractional positions:
Np 0.7500 0.7500 0.7500  4 Pa 3.20
Cs 0.2500 0.2500 0.2500  4 Pa 3.20
Pa 0.0000 0.0000 0.0000  4 Np 3.20, 4 Cs 3.20

Summary:
Spin magnetization in μB/cell: 7.010



(ii)
The following is a PBE calculation of a relaxed CsNpPa crystal, from OQMD.

abc: 5.1549 5.1549 5.1549
angles: 60.00 60.00 60.00
Last column: nearest neighbours and their distance in Å.
Fractional positions:
Cs 0.0000 0.0000 0.0000  4 Pa 3.16, 4 Np 3.16
Pa 0.7500 0.7500 0.7500  4 Cs 3.16
Np 0.2500 0.2500 0.2500  4 Cs 3.16

Summary:
Spin magnetization in μB/cell: 5.799



Last place for stability: (ii)